A plane-wave DFT calculation with GGA+U was carried out for a relaxed MnBiPb2F crystal.

Lattice parameters (Å, degrees): 6.717 5.810 6.717 90.00 90.00 90.00
Element x y z (fractional)
F (0.500, 0.500, 0.500)
Mn (0.000, 0.500, 0.000)
Bi (0.000, 0.000, 0.000)
Pb (0.000, 0.000, 0.500)
Pb (0.500, 0.000, 0.000)

Calculated values
DFT total energy = -3.599 eV/atom
crystal system = tetragonal
magnetization = 5.41 μB per formula unit
volume = 52.43 Å³ per atom